This record from Alexandria describes an optimized crystal structure of CsNiB2F. The functional is PBE+U.

**Raw total energy**: -1.90 eV per atom
**Space group**: P4/mmm
**D(E_F)**: 0.405 states/eV/atom

a b c (Å): 4.2260 4.2260 5.3039
angles (deg): 90.00 90.00 90.00
With the nearest neighbours (Å) after each atom.
Element x y z (fractional)
Cs1 0.0000 0.0000 0.0000  2 F 2.65
Ni1 0.5000 0.5000 0.0000  4 Cs 2.99
B1 0.0000 0.5000 0.5000  2 F 2.11
B2 0.5000 0.0000 0.5000  2 F 2.11
F1 0.0000 0.0000 0.5000  4 B 2.11